First-principles (PBE-GGA) data for a relaxed InFeTc2Ni crystal, as listed in Alexandria.

Output
DFT formation energy   2.5543 eV/atom
Spin magnetization   5.53 μB per cell
Symmetry   P4/mmm, No. 123
V   22.37 Å³/atom
Crystal system   tetragonal
Mass density   6315 kg/m3

Cell lengths 4.938, 4.938, 4.587 Å; angles 90.00, 90.00, 90.00 degrees
Element x y z (fractional)
In1 0.000 0.000 0.000
Fe1 0.000 0.000 0.500
Tc1 0.000 0.500 0.000
Tc2 0.500 0.000 0.000
Ni1 0.500 0.500 0.500

=====

First-principles (PBE-GGA) data for a relaxed ReGe2O8 crystal, as listed in Alexandria.

Output
Spin magnetization   1.01 μB per cell
Symmetry   C2/m, No. 12
V   11.32 Å³/atom
Energy relative to the elements, uncorrected   -1208 kJ/mol of formula units
Crystal system   monoclinic
Mass density   6126 kg/m3

Cell lengths 5.402, 5.402, 4.946 Å; angles 104.18, 104.18, 64.39 degrees
Element x y z (fractional)
Re1 0.000 0.000 0.000
Ge1 0.269 0.269 0.560
Ge2 0.731 0.731 0.440
O1 0.060 0.637 0.731
O2 0.122 0.122 0.767
O3 0.363 0.940 0.269
O4 0.433 0.433 0.388
O5 0.567 0.567 0.612
O6 0.637 0.060 0.731
O7 0.878 0.878 0.233
O8 0.940 0.363 0.269